## CaMnTc2Cl (GGA-PBE)

Data for an optimized crystal structure of CaMnTc2Cl.

Cell lengths 4.711, 4.711, 4.856 Å; angles 90.00, 90.00, 90.00 degrees
Atoms (fractional coordinates):
Ca (0.000, 0.000, 0.000)
Mn (0.500, 0.500, 0.500)
Tc (0.000, 0.500, 0.000)
Tc (0.500, 0.000, 0.000)
Cl (0.000, 0.000, 0.500)

Formation energy (no corrections), eV/atom: 2.5111
Final energy, eV per cell: -21.19
D(E_F), states/eV per cell: 12.1